[1]
# Li2AsI4 PBE-GGA relaxed
data_Li2AsI4
_symmetry_space_group_name_H-M 'I -4 2 m'
_symmetry_Int_Tables_number 121
_symmetry_space_group_name_Hall 'I -4 2'
_cell_length_a 7.393
_cell_length_b 7.393
_cell_length_c 9.045
_cell_angle_alpha 90.00
_cell_angle_beta 90.00
_cell_angle_gamma 90.00
loop_
_atom_site_label
_atom_site_type_symbol
_atom_site_fract_x
_atom_site_fract_y
_atom_site_fract_z
Li1 Li 0.000 0.500 0.250
As1 As 0.000 0.000 0.000
I1 I 0.242 0.242 0.607
# Fermi-level density of states: 0.91 states/eV per cell
# DFT total energy: -2.656 eV per atom
# Formation energy from raw total energies: -0.559 eV per atom



[2]
# DyThZr2 PBE-GGA relaxed
data_DyThZr2
_symmetry_space_group_name_H-M 'P 4/m m m'
_symmetry_Int_Tables_number 123
_symmetry_space_group_name_Hall '-P 4 2'
_cell_length_a 3.962
_cell_length_b 3.962
_cell_length_c 6.975
_cell_angle_alpha 90.00
_cell_angle_beta 90.00
_cell_angle_gamma 90.00
loop_
_atom_site_label
_atom_site_type_symbol
_atom_site_fract_x
_atom_site_fract_y
_atom_site_fract_z
Dy1 Dy 0.000 0.000 0.000
Th1 Th 0.000 0.000 0.500
Zr1 Zr 0.500 0.500 0.279
# Fermi-level density of states: 5.07 states/eV per cell
# DFT total energy: -7.168 eV per atom
# E_form: 0.11 eV/atom



[3]
# Na3InO3 PBE-GGA relaxed
data_Na3InO3
_symmetry_space_group_name_H-M 'C 1 2/m 1'
_symmetry_Int_Tables_number 12
_cell_length_a 6.836
_cell_length_b 10.742
_cell_length_c 6.157
_cell_angle_alpha 90.00
_cell_angle_beta 95.43
_cell_angle_gamma 90.00
loop_
_symmetry_equiv_pos_as_xyz
'x,y,z'
'-x,-y,-z'
'-x,y,-z'
'x,-y,z'
'x+1/2,y+1/2,z'
'-x+1/2,-y+1/2,-z'
'-x+1/2,y+1/2,-z'
'x+1/2,-y+1/2,z'
loop_
_atom_site_label
_atom_site_type_symbol
_atom_site_fract_x
_atom_site_fract_y
_atom_site_fract_z
Na1 Na 0.000 0.200 0.000
Na2 Na 0.000 0.258 0.500
Na3 Na 0.130 0.500 0.869
In1 In 0.200 0.000 0.636
O1 O 0.100 0.000 0.297
O2 O 0.158 0.348 0.227
# DFT total energy: -4.443 eV per atom
# Formation energy from raw total energies: -1.362 eV per atom



[4]
# WAuBr2 PBE-GGA relaxed
data_WAuBr2
_symmetry_space_group_name_H-M 'R 3 m'
_symmetry_Int_Tables_number 160
_symmetry_space_group_name_Hall 'R 3 -2"'
_cell_length_a 3.3538
_cell_length_b 3.3538
_cell_length_c 27.5342
_cell_angle_alpha 90.00
_cell_angle_beta 90.00
_cell_angle_gamma 120.00
loop_
_atom_site_label
_atom_site_type_symbol
_atom_site_fract_x
_atom_site_fract_y
_atom_site_fract_z
W1 W 0.0000 0.0000 0.0000
Au1 Au 0.0000 0.0000 0.7385
Br1 Br 0.0000 0.0000 0.2694
Br2 Br 0.0000 0.0000 0.4769
# Fermi-level density of states: 5.50 states/eV per cell
# DFT total energy: -4.581 eV per atom
# Formation energy from raw total energies: 0.313 eV per atom



[5]
# Nd8CuRh3Br4 PBE-GGA relaxed
data_Nd8CuRh3Br4
_symmetry_space_group_name_H-M 'R -3 m'
_symmetry_Int_Tables_number 166
_symmetry_space_group_name_Hall '-R 3 2"'
_cell_length_a 8.2951
_cell_length_b 8.2951
_cell_length_c 23.4260
_cell_angle_alpha 90.00
_cell_angle_beta 90.00
_cell_angle_gamma 120.00
loop_
_atom_site_label
_atom_site_type_symbol
_atom_site_fract_x
_atom_site_fract_y
_atom_site_fract_z
Nd1 Nd 0.0000 0.0000 0.2329
Nd2 Nd 0.0052 0.5026 0.7681
Cu1 Cu 0.0000 0.0000 0.5000
Rh1 Rh 0.0000 0.5000 0.5000
Br1 Br 0.0000 0.0000 0.0000
Br2 Br 0.0000 0.5000 0.0000
# Fermi-level density of states: 27.32 states/eV per cell
# DFT total energy: -5.404 eV per atom
# Formation energy from raw total energies: -0.967 eV per atom



[6]
# SiSbCl PBE-GGA relaxed
data_SiSbCl
_symmetry_space_group_name_H-M 'P 3 m 1'
_symmetry_Int_Tables_number 156
_cell_length_a 3.9679
_cell_length_b 3.9679
_cell_length_c 5.8642
_cell_angle_alpha 90.00
_cell_angle_beta 90.00
_cell_angle_gamma 120.00
loop_
_symmetry_equiv_pos_as_xyz
'x,y,z'
'-y,x-y,z'
'-x+y,-x,z'
'-y,-x,z'
'-x+y,y,z'
'x,x-y,z'
loop_
_atom_site_label
_atom_site_type_symbol
_atom_site_fract_x
_atom_site_fract_y
_atom_site_fract_z
Si1 Si 0.0000 0.0000 0.0000
Sb1 Sb 0.3333 0.6667 0.7932
Cl1 Cl 0.6667 0.3333 0.3079
# Fermi-level density of states: 0.47 states/eV per cell
# DFT total energy: -3.728 eV per atom
# Formation energy from raw total energies: 0.069 eV per atom



[7]
# PrZrGa2Pt2 PBE-GGA relaxed
data_PrZrGa2Pt2
_symmetry_space_group_name_H-M 'P -3 m 1'
_symmetry_Int_Tables_number 164
_symmetry_space_group_name_Hall '-P 3 2"'
_cell_length_a 4.4386
_cell_length_b 4.4386
_cell_length_c 7.1036
_cell_angle_alpha 90.00
_cell_angle_beta 90.00
_cell_angle_gamma 120.00
loop_
_atom_site_label
_atom_site_type_symbol
_atom_site_fract_x
_atom_site_fract_y
_atom_site_fract_z
Pr1 Pr 0.0000 0.0000 0.0000
Zr1 Zr 0.0000 0.0000 0.5000
Ga1 Ga 0.3333 0.6667 0.7058
Pt1 Pt 0.3333 0.6667 0.2951
# Fermi-level density of states: 4.38 states/eV per cell
# DFT total energy: -6.225 eV per atom
# E_form: -0.98 eV/atom



[8]
# SmPd6Pb2 PBE-GGA relaxed
data_SmPd6Pb2
_symmetry_space_group_name_H-M 'P 6/m m m'
_symmetry_Int_Tables_number 191
_symmetry_space_group_name_Hall '-P 6 2'
_cell_length_a 5.5921
_cell_length_b 5.5921
_cell_length_c 7.2984
_cell_angle_alpha 90.00
_cell_angle_beta 90.00
_cell_angle_gamma 120.00
loop_
_atom_site_label
_atom_site_type_symbol
_atom_site_fract_x
_atom_site_fract_y
_atom_site_fract_z
Sm1 Sm 0.0000 0.0000 0.0000
Pd1 Pd 0.0000 0.5000 0.1849
Pb1 Pb 0.3333 0.6667 0.5000
# Fermi-level density of states: 3.76 states/eV per cell
# DFT total energy: -5.156 eV per atom
# E_form: -0.35 eV/atom